[1]
Compound: Pr2Rh3Pb5
Source: Alexandria via LeMat-Bulk
Functional: PBE
Structure: optimized geometry

Output
The energy comes out at -0.200 Ha/atom. The density of states at the Fermi level comes out at 11.9 states/eV/cell. The formation enthalpy at 0 K comes out at -0.41 eV/atom. Its mass density is 11.22 Mg/m³. Its total magnetization is 0.00 Bohr magnetons per cell.

Cell: 14.016 14.016 7.520 Å, 90.00 90.00 160.99°
Sites, in units of the cell vectors:
Pr (0.026, 0.974, 0.500)
Pr (0.329, 0.671, 0.459)
Pr (0.671, 0.329, 0.959)
Pr (0.974, 0.026, 0.000)
Rh (0.105, 0.895, 0.748)
Rh (0.277, 0.723, 0.959)
Rh (0.451, 0.549, 0.718)
Rh (0.549, 0.451, 0.218)
Rh (0.723, 0.277, 0.459)
Rh (0.895, 0.105, 0.248)
Pb (0.095, 0.905, 0.123)
Pb (0.205, 0.795, 0.674)
Pb (0.209, 0.791, 0.246)
Pb (0.378, 0.622, 0.990)
Pb (0.452, 0.548, 0.334)
Pb (0.548, 0.452, 0.834)
Pb (0.622, 0.378, 0.490)
Pb (0.791, 0.209, 0.746)
Pb (0.795, 0.205, 0.174)
Pb (0.905, 0.095, 0.623)



[2]
Compound: AlCoTe
Source: Alexandria via LeMat-Bulk
Functional: PBE
Structure: optimized geometry

Output
The energy comes out at -0.169 Ha/atom. The density of states at the Fermi level comes out at 2.3 states/eV/cell. Its mass density is 6.01 Mg/m³. The formation energy (no corrections) comes out at 0.056 eV per atom. Its total magnetization is 0.00 Bohr magnetons per cell.

Cell: 6.860 6.860 6.860 Å, 154.67 154.67 36.12°
Sites, in units of the cell vectors:
Al (0.000, 0.000, 0.000)
Co (0.416, 0.416, 0.000)
Te (0.223, 0.223, 0.000)



[3]
Compound: Rb2NaH
Source: Alexandria via LeMat-Bulk
Functional: PBE
Structure: optimized geometry

Output
The energy comes out at -0.061 Ha/atom. The value obtained for the polymorph energy (0 for the lowest one) is 0 meV/atom. The density of states at the Fermi level comes out at 1.2 states/eV/cell. Its mass density is 1.89 Mg/m³. Its total magnetization is 0.00 Bohr magnetons per cell.

Cell: 11.046 11.046 11.046 Å, 22.38 22.38 22.38°
Sites, in units of the cell vectors:
Rb (0.221, 0.221, 0.221)
Rb (0.779, 0.779, 0.779)
Na (0.000, 0.000, 0.000)
H (0.500, 0.500, 0.500)



[4]
Compound: Pr2NdSm4
Source: Alexandria via LeMat-Bulk
Functional: PBE
Structure: optimized geometry

Output
The energy comes out at -0.174 Ha/atom. The value obtained for the polymorph energy (0 for the lowest one) is 0 meV/atom. The density of states at the Fermi level comes out at 9.1 states/eV/cell. The formation enthalpy at 0 K comes out at 0.01 eV/atom. Its mass density is 7.04 Mg/m³. Its total magnetization is 0.00 Bohr magnetons per cell.

Cell: 20.975 20.975 20.975 Å, 10.02 10.02 10.02°
Sites, in units of the cell vectors:
Pr (0.071, 0.071, 0.071)
Pr (0.929, 0.929, 0.929)
Nd (0.500, 0.500, 0.500)
Sm (0.214, 0.214, 0.214)
Sm (0.357, 0.357, 0.357)
Sm (0.643, 0.643, 0.643)
Sm (0.786, 0.786, 0.786)